# 1
Density functional theory data (PBE-GGA) for an optimized crystal structure of Li5AcHg3.

Calculated values
- space-group type = Cmcm (63)

abc: 4.1820 7.4094 13.7240
angles: 90.00 90.00 106.39
Positions (direct):
Li 0.8019 0.6038 0.4456
Li 0.1981 0.3962 0.9456
Li 0.0000 0.0000 0.5000
Li 0.0000 0.0000 0.0000
Li 0.4333 0.8665 0.1449
Li 0.5667 0.1335 0.8551
Li 0.5667 0.1335 0.6449
Li 0.8019 0.6038 0.0544
Li 0.1981 0.3962 0.5544
Li 0.4333 0.8665 0.3551
Ac 0.8453 0.6907 0.7500
Ac 0.1547 0.3093 0.2500
Hg 0.3872 0.7744 0.9406
Hg 0.8500 0.7000 0.2500
Hg 0.3872 0.7744 0.5594
Hg 0.6128 0.2256 0.4406
Hg 0.1500 0.3000 0.7500
Hg 0.6128 0.2256 0.0594

# 2
Density functional theory data (PBE-GGA) for an optimized crystal structure of Li2Ac3Hg4.

Calculated values
- space-group type = C2/m (12)

abc: 5.2046 5.9566 9.5713
angles: 104.98 90.00 115.90
Positions (direct):
Li 0.7002 0.4003 0.3678
Li 0.2998 0.5997 0.6322
Ac 0.6214 0.2428 0.7061
Ac 0.0000 0.0000 0.0000
Ac 0.3786 0.7572 0.2939
Hg 0.7129 0.4257 0.0868
Hg 0.2871 0.5743 0.9132
Hg 0.9099 0.8198 0.6078
Hg 0.0901 0.1802 0.3922

# 3
Density functional theory data (PBE-GGA) for an optimized crystal structure of LiAc2Hg4.

Calculated values
- space-group type = R-3m (166)

abc: 5.6407 5.6407 8.5406
angles: 70.72 70.72 60.00
Positions (direct):
Li 0.0000 0.0000 0.0000
Ac 0.7469 0.7469 0.7593
Ac 0.2531 0.2531 0.2407
Hg 0.8868 0.8868 0.3396
Hg 0.1132 0.1132 0.6604
Hg 0.6058 0.6058 0.1827
Hg 0.3942 0.3942 0.8173

# 4
Density functional theory data (PBE-GGA) for an optimized crystal structure of Li2Ac2Hg5.

Calculated values
- space-group type = P4/mmm (123)

abc: 5.2737 5.2737 8.6530
angles: 90.00 90.00 90.00
Positions (direct):
Li 0.5000 0.5000 0.1709
Li 0.5000 0.5000 0.8291
Ac 0.0000 0.0000 0.0000
Ac 0.0000 0.0000 0.5000
Hg 0.5000 0.0000 0.2478
Hg 0.5000 0.0000 0.7522
Hg 0.0000 0.5000 0.2478
Hg 0.0000 0.5000 0.7522
Hg 0.5000 0.5000 0.5000

# 5
Density functional theory data (PBE-GGA) for an optimized crystal structure of Li2Ac3Hg7.

Calculated values
- space-group type = P2/m (10)

abc: 4.6648 5.0863 14.1257
angles: 100.40 90.00 90.00
Positions (direct):
Li 0.5000 0.6318 0.2635
Li 0.5000 0.3682 0.7365
Ac 0.5000 0.5000 0.0000
Ac 0.0000 0.1783 0.3571
Ac 0.0000 0.8217 0.6429
Hg 0.5000 0.7240 0.4476
Hg 0.5000 0.2760 0.5524
Hg 0.0000 0.5902 0.1774
Hg 0.0000 0.0000 0.0000
Hg 0.0000 0.4098 0.8226
Hg 0.5000 0.9137 0.8277
Hg 0.5000 0.0863 0.1723

# 6
Density functional theory data (PBE-GGA) for an optimized crystal structure of LiAc4Hg5.

Calculated values
- space-group type = P4/mmm (123)

abc: 3.9816 3.9816 19.4708
angles: 90.00 90.00 90.00
Positions (direct):
Li 0.0000 0.0000 0.0000
Ac 0.0000 0.0000 0.1835
Ac 0.0000 0.0000 0.3933
Ac 0.0000 0.0000 0.6067
Ac 0.0000 0.0000 0.8165
Hg 0.5000 0.5000 0.0784
Hg 0.5000 0.5000 0.2891
Hg 0.5000 0.5000 0.5000
Hg 0.5000 0.5000 0.7109
Hg 0.5000 0.5000 0.9216

# 7
Density functional theory data (PBE-GGA) for an optimized crystal structure of Li5AcHg6.

Calculated values
- space-group type = P2/m (10)

abc: 4.9457 7.7798 7.2780
angles: 90.00 90.00 71.74
Positions (direct):
Ac 0.0000 0.0000 0.0000
Hg 0.8208 0.3554 0.2801
Hg 0.8208 0.3554 0.7199
Hg 0.5000 0.0000 0.7094
Hg 0.5000 0.0000 0.2906
Hg 0.1792 0.6446 0.2801
Hg 0.1792 0.6446 0.7199
Li 0.6600 0.6831 0.5000
Li 0.3207 0.3620 0.0000
Li 0.0000 0.0000 0.5000
Li 0.6793 0.6380 0.0000
Li 0.3400 0.3169 0.5000

# 8
Density functional theory data (PBE-GGA) for an optimized crystal structure of Li3AcHg3.

Calculated values
- space-group type = P2_1/m (11)
- excess energy over the best structure of this formula in the dataset (eV per atom) = 0.000

abc: 4.6694 9.1768 9.2291
angles: 120.29 90.00 90.00
Positions (direct):
Li 0.7500 0.7868 0.0025
Li 0.7500 0.2210 0.2162
Li 0.7500 0.9963 0.7826
Li 0.2500 0.2132 0.9975
Li 0.2500 0.7790 0.7838
Li 0.2500 0.0037 0.2174
Ac 0.7500 0.3336 0.6669
Ac 0.2500 0.6664 0.3331
Hg 0.7500 0.9422 0.3483
Hg 0.7500 0.4066 0.0561
Hg 0.7500 0.6493 0.5913
Hg 0.2500 0.0578 0.6517
Hg 0.2500 0.5934 0.9439
Hg 0.2500 0.3507 0.4087

# 9
Density functional theory data (PBE-GGA) for an optimized crystal structure of Li2AcHg.

Calculated values
- space-group type = Fm-3m (225)
- excess energy over the best structure of this formula in the dataset (eV per atom) = 0.123

abc: 5.1588 5.1588 5.1588
angles: 60.00 60.00 60.00
Positions (direct):
Ac 0.0000 0.0000 0.0000
Hg 0.5000 0.5000 0.5000
Li 0.2500 0.2500 0.2500
Li 0.7500 0.7500 0.7500

# 10
Density functional theory data (PBE-GGA) for an optimized crystal structure of LiAcHg3.

Calculated values
- space-group type = Pm-3m (221)
- excess energy over the best structure of this formula in the dataset (eV per atom) = 0.069

abc: 5.0582 5.0582 5.0582
angles: 90.00 90.00 90.00
Positions (direct):
Ac 0.5000 0.5000 0.5000
Hg 0.0000 0.5000 0.0000
Hg 0.0000 0.0000 0.5000
Hg 0.5000 0.0000 0.0000
Li 0.0000 0.0000 0.0000

# 11
Density functional theory data (PBE-GGA) for an optimized crystal structure of Li2AcHg.

Calculated values
- space-group type = Cmcm (63)
- excess energy over the best structure of this formula in the dataset (eV per atom) = 0.033

abc: 4.6495 4.1380 11.4891
angles: 100.37 90.00 90.00
Positions (direct):
Li 0.2500 0.2533 0.5066
Li 0.7500 0.7467 0.4934
Li 0.7500 0.4667 0.9334
Li 0.2500 0.5333 0.0666
Ac 0.2500 0.8908 0.7815
Ac 0.7500 0.1092 0.2185
Hg 0.7500 0.3330 0.6661
Hg 0.2500 0.6670 0.3339

# 12
Density functional theory data (PBE-GGA) for an optimized crystal structure of LiAcHg3.

Calculated values
- space-group type = Pnma (62)
- excess energy over the best structure of this formula in the dataset (eV per atom) = 0.000

abc: 5.3786 9.6983 9.8393
angles: 90.00 90.00 90.00
Positions (direct):
Li 0.2500 0.0831 0.6637
Li 0.2500 0.5831 0.8363
Li 0.7500 0.4169 0.1637
Li 0.7500 0.9169 0.3363
Ac 0.7500 0.7673 0.9939
Ac 0.2500 0.7327 0.4939
Ac 0.7500 0.2673 0.5061
Ac 0.2500 0.2327 0.0061
Hg 0.2500 0.5799 0.1105
Hg 0.7500 0.4201 0.8895
Hg 0.2500 0.0799 0.3895
Hg 0.7500 0.9201 0.6105
Hg 0.2500 0.3687 0.6750
Hg 0.7500 0.1313 0.1750
Hg 0.2500 0.8687 0.8250
Hg 0.7500 0.6008 0.6533
Hg 0.2500 0.3992 0.3467
Hg 0.7500 0.1008 0.8467
Hg 0.7500 0.6313 0.3250
Hg 0.2500 0.8992 0.1533

# 13
Density functional theory data (PBE-GGA) for an optimized crystal structure of LiAc3Hg2.

Calculated values
- space-group type = P4/mmm (123)
- excess energy over the best structure of this formula in the dataset (eV per atom) = 0.017

abc: 4.0818 4.0818 11.9959
angles: 90.00 90.00 90.00
Positions (direct):
Li 0.5000 0.5000 0.5000
Ac 0.0000 0.0000 0.0000
Ac 0.0000 0.0000 0.6715
Ac 0.0000 0.0000 0.3285
Hg 0.5000 0.5000 0.8286
Hg 0.5000 0.5000 0.1714

# 14
Density functional theory data (PBE-GGA) for an optimized crystal structure of Li6Ac2Hg3.

Calculated values
- space-group type = P-62m (189)

abc: 4.2843 8.6455 8.6455
angles: 120.00 90.00 90.00
Positions (direct):
Li 0.5000 0.7282 0.7282
Li 0.5000 0.0000 0.2718
Li 0.0000 0.1925 0.1925
Li 0.0000 0.8075 0.0000
Li 0.5000 0.2718 0.0000
Li 0.0000 0.0000 0.8075
Ac 0.0000 0.6667 0.3333
Ac 0.0000 0.3333 0.6667
Hg 0.5000 0.3918 0.3918
Hg 0.5000 0.6082 0.0000
Hg 0.5000 0.0000 0.6082

# 15
Density functional theory data (PBE-GGA) for an optimized crystal structure of LiAc4Hg7.

Calculated values
- space-group type = C2/m (12)

abc: 5.2755 9.4891 8.5258
angles: 68.61 71.98 73.86
Positions (direct):
Li 0.0000 0.0000 0.0000
Ac 0.5666 0.2497 0.6172
Ac 0.4334 0.7503 0.3828
Ac 0.7307 0.7413 0.7972
Ac 0.2693 0.2587 0.2028
Hg 0.8138 0.0028 0.3695
Hg 0.1862 0.9972 0.6305
Hg 0.0954 0.6663 0.1429
Hg 0.9046 0.3337 0.8571
Hg 0.3340 0.5289 0.8031
Hg 0.5000 0.0000 0.0000
Hg 0.6660 0.4711 0.1969

# 16
Density functional theory data (PBE-GGA) for an optimized crystal structure of LiAcHg.

Calculated values
- space-group type = P-6m2 (187)
- excess energy over the best structure of this formula in the dataset (eV per atom) = 0.011

abc: 3.8376 5.0446 5.0446
angles: 120.00 90.00 90.00
Positions (direct):
Ac 0.6666 0.3333 0.6667
Hg 0.1663 0.0000 0.0000
Li 0.1671 0.6667 0.3333

# 17
Density functional theory data (PBE-GGA) for an optimized crystal structure of LiAc4Hg2.

Calculated values
- space-group type = P4/mmm (123)

abc: 5.6368 5.6368 7.9943
angles: 90.00 90.00 90.00
Positions (direct):
Li 0.5000 0.5000 0.0000
Ac 0.5000 0.0000 0.2536
Ac 0.0000 0.5000 0.7464
Ac 0.5000 0.0000 0.7464
Ac 0.0000 0.5000 0.2536
Hg 0.0000 0.0000 0.0000
Hg 0.5000 0.5000 0.5000

# 18
Density functional theory data (PBE-GGA) for an optimized crystal structure of Li3AcHg.

Calculated values
- space-group type = Pm-3m (221)
- excess energy over the best structure of this formula in the dataset (eV per atom) = 0.166

abc: 5.0667 5.0667 5.0667
angles: 90.00 90.00 90.00
Positions (direct):
Ac 0.5000 0.5000 0.5000
Hg 0.0000 0.0000 0.0000
Li 0.0000 0.5000 0.0000
Li 0.0000 0.0000 0.5000
Li 0.5000 0.0000 0.0000

# 19
Density functional theory data (PBE-GGA) for an optimized crystal structure of Li2AcHg8.

Calculated values
- space-group type = P4/mmm (123)

abc: 7.1068 7.1068 6.3105
angles: 90.00 90.00 90.00
Positions (direct):
Li 0.5000 0.0000 0.0000
Li 0.0000 0.5000 0.0000
Ac 0.5000 0.5000 0.5000
Hg 0.7865 0.7865 0.2457
Hg 0.7865 0.2135 0.7543
Hg 0.7865 0.7865 0.7543
Hg 0.7865 0.2135 0.2457
Hg 0.2135 0.7865 0.2457
Hg 0.2135 0.7865 0.7543
Hg 0.2135 0.2135 0.2457
Hg 0.2135 0.2135 0.7543

# 20
Density functional theory data (PBE-GGA) for an optimized crystal structure of LiAc3Hg.

Calculated values
- space-group type = Cmcm (63)

abc: 5.6726 5.6941 11.3309
angles: 90.00 75.50 90.00
Positions (direct):
Li 0.4791 0.7500 0.6902
Li 0.1693 0.2500 0.3098
Ac 0.7583 0.2500 0.1318
Ac 0.3867 0.2500 0.8750
Ac 0.5743 0.2500 0.4997
Ac 0.2617 0.7500 0.1250
Ac 0.8901 0.7500 0.8682
Ac 0.0740 0.7500 0.5003
Hg 0.6654 0.7500 0.3175
Hg 0.9829 0.2500 0.6825

# 21
Density functional theory data (PBE-GGA) for an optimized crystal structure of Li2Ac2Hg3.

Calculated values
- space-group type = C2/m (12)
- excess energy over the best structure of this formula in the dataset (eV per atom) = 0.030

abc: 4.5858 6.1148 7.8991
angles: 114.20 90.00 112.02
Positions (direct):
Li 0.8693 0.7387 0.7835
Li 0.1307 0.2613 0.2165
Ac 0.8530 0.7059 0.2329
Ac 0.1470 0.2941 0.7671
Hg 0.5000 0.0000 0.0000
Hg 0.6291 0.2581 0.4376
Hg 0.3709 0.7419 0.5624

# 22
Density functional theory data (PBE-GGA) for an optimized crystal structure of Li5Ac2Hg5.

Calculated values
- space-group type = Pmmm (47)

abc: 4.7409 5.7592 10.4683
angles: 90.00 90.00 90.00
Positions (direct):
Li 0.5000 0.5000 0.5000
Li 0.5000 0.7509 0.2433
Li 0.5000 0.2491 0.7567
Li 0.5000 0.2491 0.2433
Li 0.5000 0.7509 0.7567
Ac 0.0000 0.5000 0.0000
Ac 0.0000 0.0000 0.5000
Hg 0.0000 0.5000 0.3335
Hg 0.0000 0.0000 0.8177
Hg 0.0000 0.0000 0.1823
Hg 0.0000 0.5000 0.6665
Hg 0.5000 0.0000 0.0000

Number 1: calculated formation energy -0.306 eV/atom, D(E_F) 8.930 states/eV/cell. Number 2: calculated formation energy -0.406 eV/atom, D(E_F) 5.631 states/eV/cell. Number 3: calculated formation energy -0.326 eV/atom, D(E_F) 4.407 states/eV/cell. Number 4: calculated formation energy -0.378 eV/atom, D(E_F) 6.049 states/eV/cell. Number 5: calculated formation energy -0.373 eV/atom, D(E_F) 10.764 states/eV/cell. Number 6: calculated formation energy -0.425 eV/atom, D(E_F) 8.994 states/eV/cell. Number 7: calculated formation energy -0.348 eV/atom, D(E_F) 5.618 states/eV/cell. Number 8: calculated formation energy -0.328 eV/atom, D(E_F) 6.250 states/eV/cell. Number 9: calculated formation energy -0.124 eV/atom, D(E_F) 3.742 states/eV/cell. Number 10: calculated formation energy -0.327 eV/atom, D(E_F) 3.863 states/eV/cell. Number 11: calculated formation energy -0.215 eV/atom, D(E_F) 5.872 states/eV/cell. Number 12: calculated formation energy -0.396 eV/atom, D(E_F) 10.888 states/eV/cell. Number 13: calculated formation energy -0.297 eV/atom, D(E_F) 7.242 states/eV/cell. Number 14: calculated formation energy -0.247 eV/atom, D(E_F) 7.809 states/eV/cell. Number 15: calculated formation energy -0.386 eV/atom, D(E_F) 10.146 states/eV/cell. Number 16: calculated formation energy -0.324 eV/atom, D(E_F) 1.972 states/eV/cell. Number 17: calculated formation energy -0.165 eV/atom, D(E_F) 9.995 states/eV/cell. Number 18: calculated formation energy -0.019 eV/atom, D(E_F) 5.015 states/eV/cell. Number 19: calculated formation energy -0.168 eV/atom, D(E_F) 5.560 states/eV/cell. Number 20: calculated formation energy -0.162 eV/atom, D(E_F) 11.258 states/eV/cell. Number 21: calculated formation energy -0.343 eV/atom, D(E_F) 4.280 states/eV/cell. Number 22: calculated formation energy -0.358 eV/atom, D(E_F) 6.735 states/eV/cell.